This record from Alexandria via LeMat-Bulk describes crystalline LiGdErPb at its relaxed geometry. The functional is PBE.

a = 5.3055 Å, b = 5.3055 Å, c = 5.3055 Å
α = 60.00°, β = 60.00°, γ = 60.00°
Fractional coordinates of all 4 atoms:
Li 0.0000 0.0000 0.0000
Gd 0.2500 0.2500 0.2500
Er 0.7500 0.7500 0.7500
Pb 0.5000 0.5000 0.5000

Crystal system: cubic
DFT formation energy, eV per atom: -0.267
Electronic total energy, eV per atom: -6.334
Calculated density, Mg/m³: 8.47